Below is a relaxed Ir7W crystal, with properties calculated at the GGA-PBE level.

a = 5.4936 Å, b = 5.4936 Å, c = 5.4936 Å
α = 60.00°, β = 60.00°, γ = 60.00°
Closest atoms and distances in Å follow each position.
Fractional coordinates of all 8 atoms:
1 Ir 0.0000 0.5000 0.0000  10 Ir 2.75, 2 W 2.75
2 Ir 0.0000 0.5000 0.5000  2 W 2.75, 10 Ir 2.75
3 Ir 0.5000 0.5000 0.0000  10 Ir 2.75, 2 W 2.75
4 Ir 0.5000 0.0000 0.5000  10 Ir 2.75, 2 W 2.75
5 Ir 0.5000 0.0000 0.0000  10 Ir 2.75, 2 W 2.75
6 Ir 0.0000 0.0000 0.5000  10 Ir 2.75, 2 W 2.75
7 Ir 0.5000 0.5000 0.5000  12 Ir 2.75
8 W 0.0000 0.0000 0.0000  12 Ir 2.75

For the mass density, the calculation gives 21.66 g/cm3. The total magnetic moment comes out at 0.00 μB/f.u. The energy comes out at -9.510 eV/atom. Its formation energy is -0.137 eV/atom. The symmetry is Fm-3m.